The following is a PBE calculation of a relaxed structure of Rb2Ag2Te4As, from Alexandria.

Lattice parameters (Å, degrees): 5.580 6.776 9.295 94.88 102.89 102.64
Element x y z (fractional)
Ag (0.224, 0.689, 0.917)
Ag (0.776, 0.311, 0.083)
As (0.000, 0.000, 0.000)
Rb (0.707, 0.281, 0.601)
Rb (0.293, 0.719, 0.399)
Te (0.053, 0.165, 0.313)
Te (0.668, 0.700, 0.120)
Te (0.332, 0.300, 0.880)
Te (0.947, 0.835, 0.687)

Electronic total energy (eV per atom): -3.06
Formation energy without anion corrections (eV/atom): -0.294

=====

The following is a PBE calculation of a relaxed structure of Re2AgAs, from Alexandria.

Lattice parameters (Å, degrees): 8.903 8.903 8.903 18.62 18.62 18.62
Element x y z (fractional)
Re (0.991, 0.991, 0.991)
Re (0.509, 0.509, 0.509)
Ag (0.750, 0.750, 0.750)
As (0.250, 0.250, 0.250)

Electronic total energy (eV per atom): -7.57

=====

The following is a PBE calculation of a relaxed structure of Re2AgAs, from Alexandria.

Lattice parameters (Å, degrees): 7.496 7.496 5.858 50.22 50.22 90.00
Element x y z (fractional)
Re (0.564, 0.125, 0.250)
Re (0.375, 0.436, 0.750)
Re (0.875, 0.814, 0.750)
Re (0.186, 0.625, 0.250)
Ag (0.000, 0.000, 0.000)
Ag (0.750, 0.250, 0.500)
As (0.500, 0.500, 0.000)
As (0.250, 0.750, 0.500)

Electronic total energy (eV per atom): -7.17

=====

The following is a PBE calculation of a relaxed structure of Re2AgAs, from Alexandria.

Lattice parameters (Å, degrees): 2.793 2.793 9.706 90.00 90.00 117.36
Element x y z (fractional)
Re (0.500, 0.500, 0.229)
Re (0.000, 0.000, 0.009)
As (0.500, 0.500, 0.772)
Ag (0.000, 0.000, 0.490)

Electronic total energy (eV per atom): -7.64

=====

no.,ρ (Mg/m³),total magnetization (μB per formula unit)
1,4.88,0.00
2,14.67,0.00
3,13.16,0.00
4,13.71,0.00